Record 1
Computed, not measured: crystalline SeS2 at its relaxed geometry at the PBE level of DFT.

Cell and atoms, written as POSCAR:
```
SeS2
1.0
5.705 0.000 0.000
-2.003 6.099 0.000
-1.581 -3.043 6.307
S Se
4 2
Cartesian
2.848 -0.771 3.578 S
1.321 3.566 4.156 S
0.220 5.623 0.379 S
1.198 -0.563 2.113 S
3.472 1.455 0.518 Se
1.178 0.024 5.426 Se
```

Values from the calculation:
density of states at the Fermi level	0.000	states/eV per atom
V	36.58	A^3/atom
VASP energy	-3.785	eV/atom

***

Record 2
Computed, not measured: crystalline SeS2 at its relaxed geometry at the PBE level of DFT.

Cell and atoms, written as POSCAR:
```
SeS2
1.0
5.266 0.000 0.000
-2.362 6.284 0.000
-1.464 -3.056 6.023
Se S
2 4
Cartesian
0.581 2.192 1.480 Se
3.085 -0.693 4.233 Se
2.829 1.471 4.151 S
-0.657 -1.015 2.402 S
0.881 2.008 3.645 S
4.308 0.421 1.113 S
```

Values from the calculation:
V	33.22	A^3/atom
VASP energy	-3.821	eV/atom

***

Record 3
Computed, not measured: crystalline Se2S at its relaxed geometry at the PBE level of DFT.

Cell and atoms, written as POSCAR:
```
Se2S
1.0
-3.091 2.913 -3.263
-2.550 -3.177 -3.858
-6.826 -1.810 1.782
Se S
4 2
Cartesian
-5.305 2.020 -3.067 Se
-4.445 -1.372 -5.855 Se
-3.782 0.261 -2.405 Se
-8.406 -4.238 -2.028 Se
-7.118 0.556 -3.338 S
-6.941 -1.024 -2.239 S
```

Values from the calculation:
density of states at the Fermi level	0.003	states/eV per atom
V	30.79	A^3/atom
VASP energy	-3.533	eV/atom

***

Record 4
Computed, not measured: crystalline Se2S at its relaxed geometry at the PBE level of DFT.

Cell and atoms, written as POSCAR:
```
Se2S
1.0
4.375 0.000 0.000
0.000 9.209 0.000
-0.064 0.000 4.808
S Se
2 4
Cartesian
0.092 6.899 3.043 S
4.219 2.294 1.765 S
4.237 0.671 0.224 Se
0.074 5.275 4.584 Se
1.245 1.564 3.356 Se
3.066 6.169 1.452 Se
```

Values from the calculation:
density of states at the Fermi level	0.000	states/eV per atom
V	32.29	A^3/atom
VASP energy	-3.657	eV/atom